# 1
DFT (PBE) results for a relaxed structure of TeOF2.

Unit cell a=3.1746 b=3.1746 c=21.9144 alpha=90.00 beta=90.00 gamma=120.00
Space group R-3m (No. 166, hexagonal axes)
One atom of each set of equivalent atoms:
Te 0.0000 0.0000 0.0000
O 0.0000 0.0000 0.5000
F 0.0000 0.0000 0.4198

* energy above the most stable polymorph in this dataset: 710 kJ/mol of formula units
* energy relative to the elements, uncorrected: 0.10 eV per atom

# 2
DFT (PBE) results for a relaxed structure of Te3O3F.

Unit cell a=7.1957 b=7.1957 c=21.3579 alpha=90.00 beta=90.00 gamma=120.00
Space group R-3 (No. 148, hexagonal axes)
One atom of each set of equivalent atoms:
Te 0.0256 0.6338 0.4272
O 0.0209 0.7753 0.2622
F 0.0000 0.0000 0.1085

* energy relative to the elements, uncorrected: -0.72 eV per atom

# 3
DFT (PBE) results for a relaxed structure of TeOF2.

Unit cell a=3.4609 b=3.4609 c=15.7106 alpha=90.00 beta=90.00 gamma=90.00
Space group I-42d (No. 122)
One atom of each set of equivalent atoms:
Te 0.0000 0.0000 0.0000
O 0.0000 0.0000 0.5000
F 0.2118 0.2500 0.1250

* energy above the most stable polymorph in this dataset: 352 kJ/mol of formula units
* energy relative to the elements, uncorrected: -0.82 eV per atom

# 4
DFT (PBE) results for a relaxed structure of Te2O5F.

Unit cell a=3.6483 b=5.2859 c=10.7059 alpha=90.00 beta=90.00 gamma=90.00
Space group Immm (No. 71)
One atom of each set of equivalent atoms:
Te 0.0000 0.0000 0.1834
O 0.0000 0.0000 0.0000
O 0.0000 0.2686 0.3251
F 0.0000 0.5000 0.0000

* energy relative to the elements, uncorrected: -0.52 eV per atom

# 5
DFT (PBE) results for a relaxed structure of TeOF2.

Unit cell a=3.9427 b=4.2558 c=5.1467 alpha=113.13 beta=110.63 gamma=93.56
Space group P1 (No. 1)
One atom of each set of equivalent atoms:
Te 0.0000 0.0000 0.0000
O 0.5037 0.0496 0.0006
F 0.1821 0.4738 0.3251
F 0.8617 0.1486 0.6763

* energy above the most stable polymorph in this dataset: 56 kJ/mol of formula units
* energy relative to the elements, uncorrected: -1.59 eV per atom

# 6
DFT (PBE) results for a relaxed structure of TeOF2.

Unit cell a=6.8698 b=4.9327 c=8.7677 alpha=90.00 beta=90.00 gamma=90.00
Space group Pnna (No. 52)
One atom of each set of equivalent atoms:
Te 0.2500 0.0000 0.0989
O 0.1424 0.2500 0.2500
F 0.0055 0.2138 0.9005

* energy above the most stable polymorph in this dataset: 30 kJ/mol of formula units
* energy relative to the elements, uncorrected: -1.66 eV per atom

# 7
DFT (PBE) results for a relaxed structure of Te2O3F2.

Unit cell a=5.3525 b=6.2745 c=7.1572 alpha=99.91 beta=108.72 gamma=92.22
Space group P-1 (No. 2)
One atom of each set of equivalent atoms:
Te 0.0973 0.4051 0.2033
Te 0.3805 0.0152 0.7652
O 0.0442 0.8608 0.7177
O 0.1480 0.6791 0.0646
O 0.3833 0.1542 0.0646
F 0.1643 0.4317 0.7089
F 0.4258 0.7909 0.5404

* energy relative to the elements, uncorrected: -1.44 eV per atom

# 8
DFT (PBE) results for a relaxed structure of TeOF2.

Unit cell a=3.2724 b=3.2724 c=25.2535 alpha=90.00 beta=90.00 gamma=120.00
Space group R-3m (No. 166, hexagonal axes)
One atom of each set of equivalent atoms:
Te 0.0000 0.0000 0.0000
O 0.0000 0.0000 0.5000
F 0.0000 0.0000 0.0787

* energy above the most stable polymorph in this dataset: 565 kJ/mol of formula units
* energy relative to the elements, uncorrected: -0.27 eV per atom

# 9
DFT (PBE) results for a relaxed structure of Te2OF.

Unit cell a=4.6157 b=4.6157 c=15.0588 alpha=90.00 beta=90.00 gamma=90.00
Space group I-42d (No. 122)
One atom of each set of equivalent atoms:
Te 0.1789 0.2500 0.1250
O 0.0000 0.0000 0.0000
F 0.0000 0.0000 0.5000

* energy above the most stable polymorph in this dataset: 17 kJ/mol of formula units
* energy relative to the elements, uncorrected: -0.58 eV per atom

# 10
DFT (PBE) results for a relaxed structure of TeOF2.

Unit cell a=5.5905 b=5.5905 c=5.5905 alpha=90.00 beta=90.00 gamma=90.00
Space group Fm-3m (No. 225)
One atom of each set of equivalent atoms:
Te 0.0000 0.0000 0.0000
O 0.0000 0.0000 0.5000
F 0.2500 0.2500 0.2500

* energy above the most stable polymorph in this dataset: 448 kJ/mol of formula units
* energy relative to the elements, uncorrected: -0.58 eV per atom

# 11
DFT (PBE) results for a relaxed structure of TeOF2.

Unit cell a=5.4389 b=8.2787 c=6.1294 alpha=90.00 beta=101.91 gamma=90.00
Space group P2_1 (No. 4)
One atom of each set of equivalent atoms:
Te 0.0330 0.0000 0.2991
Te 0.3863 0.7083 0.0777
O 0.1293 0.7798 0.2370
O 0.1992 0.5090 0.9911
F 0.1520 0.7698 0.7668
F 0.2499 0.3896 0.6054
F 0.3044 0.0644 0.1189
F 0.4679 0.0754 0.6647

* energy above the most stable polymorph in this dataset: 0 kJ/mol of formula units
* energy relative to the elements, uncorrected: -1.74 eV per atom

# 12
DFT (PBE) results for a relaxed structure of Te2OF8.

Unit cell a=6.2198 b=9.1980 c=7.0556 alpha=90.00 beta=90.52 gamma=90.00
Space group C2/m (No. 12)
One atom of each set of equivalent atoms:
Te 0.1212 0.0000 0.2417
O 0.0000 0.0000 0.5000
F 0.0885 0.5000 0.6879
F 0.1351 0.2086 0.2165
F 0.2024 0.0000 0.9686

* energy relative to the elements, uncorrected: -1.79 eV per atom